1.
Compound: Sm2EuAs
Source: the Alexandria database
Functional: PBE
Structure: relaxed

Summary:
The density comes out at 6.35 Mg/m³. The space group is R-3m. The formation energy is -0.63 eV/atom.

Lattice parameters (Å, degrees): 4.018 4.018 10.141 78.57 78.57 60.00
Sites, in units of the cell vectors:
Eu  0.500  0.500  0.500
As  0.000  0.000  0.000
Sm  0.275  0.275  0.174
Sm  0.725  0.725  0.826

2.
Compound: SrEu3As
Source: the Alexandria database
Functional: PBE
Structure: relaxed

Summary:
The density comes out at 4.82 Mg/m³. The space group is Pm-3m. The formation energy is -0.47 eV/atom.

Lattice parameters (Å, degrees): 5.972 5.972 5.972 90.00 90.00 90.00
Sites, in units of the cell vectors:
Eu  0.000  0.500  0.000
Eu  0.000  0.000  0.500
Eu  0.500  0.000  0.000
Sr  0.500  0.500  0.500
As  0.000  0.000  0.000

3.
Compound: SrEu2As
Source: the Alexandria database
Functional: PBE
Structure: relaxed

Summary:
The calculation puts the energy above the lowest structure with this stoichiometry at 0 meV per atom. The density comes out at 5.27 Mg/m³. The space group is P4/mmm. The formation energy is -0.57 eV/atom.

Lattice parameters (Å, degrees): 3.892 3.892 9.707 90.00 90.00 90.00
Sites, in units of the cell vectors:
Eu  0.000  0.000  0.837
Eu  0.000  0.000  0.163
Sr  0.500  0.500  0.500
As  0.500  0.500  0.000

What did the second record say?
Compound: SrEu3As
Source: the Alexandria database
Functional: PBE
Structure: relaxed

Summary:
The density comes out at 4.82 Mg/m³. The space group is Pm-3m. The formation energy is -0.47 eV/atom.

Lattice parameters (Å, degrees): 5.972 5.972 5.972 90.00 90.00 90.00
Sites, in units of the cell vectors:
Eu  0.000  0.500  0.000
Eu  0.000  0.000  0.500
Eu  0.500  0.000  0.000
Sr  0.500  0.500  0.500
As  0.000  0.000  0.000